(1)
Compound: CrSbS2
Source: the Alexandria database
Functional: PBE
Structure: optimized geometry

The symmetry is P1, No. 1. The total energy comes out at -5.783 eV per atom. The total magnetic moment is 0.000 μB/atom. The value obtained for the density of states at the Fermi level is 1.08 states/eV per cell.

abc: 5.3637 6.6424 6.7859
angles: 62.94 81.26 68.91
Last column: nearest neighbours and their distance in Å.
Fractional positions:
Cr (0.0000, 0.0000, 0.0000)  4 S 2.14-2.33
Cr (0.4851, 0.0196, 0.0509)  4 S 2.13-2.32
Sb (0.2178, 0.8387, 0.6933)  1 S 2.49, 1 Cr 2.69
Sb (0.5696, 0.0964, 0.3965)  1 S 2.51, 1 Cr 2.75
S (0.0913, 0.2691, 0.0378)  2 Cr 2.14-2.15
S (0.4163, 0.7034, 0.0592)  2 Cr 2.24-2.33, 1 Sb 2.49
S (0.6642, 0.2282, 0.7669)  2 Cr 2.13-2.18
S (0.8363, 0.7562, 0.3003)  2 Cr 2.24-2.32

(2)
Compound: BaMg3P4S12
Source: the Alexandria database
Functional: PBE
Structure: optimized geometry

The symmetry is R32, No. 155. The total energy comes out at -4.404 eV per atom. The total magnetic moment is 0.006 μB/atom. The value obtained for the density of states at the Fermi level is 6.71 states/eV per cell.

abc: 8.1619 8.1619 8.1619
angles: 102.49 102.49 102.49
Last column: nearest neighbours and their distance in Å.
Fractional positions:
Ba (0.0000, 0.0000, 0.0000)  6 S 3.14
Mg (0.0000, 0.5450, 0.4550)  6 S 2.56-2.72
Mg (0.4550, 0.0000, 0.5450)  6 S 2.56-2.72
Mg (0.5450, 0.4550, 0.0000)  6 S 2.56-2.72
P (0.0542, 0.5000, 0.9458)  3 S 2.01
P (0.5000, 0.5000, 0.5000)  3 S 2.01
P (0.5000, 0.9458, 0.0542)  3 S 2.01
P (0.9458, 0.0542, 0.5000)  3 S 2.01
S (0.0530, 0.6558, 0.7854)  1 P 2.01
S (0.1040, 0.8960, 0.5000)  1 P 2.01
S (0.2146, 0.3442, 0.9470)  1 P 2.01
S (0.3419, 0.6581, 0.5000)  1 P 2.01
S (0.3442, 0.9470, 0.2146)  1 P 2.01
S (0.5000, 0.1040, 0.8960)  1 P 2.01
S (0.5000, 0.3419, 0.6581)  1 P 2.01
S (0.6558, 0.7854, 0.0530)  1 P 2.01
S (0.6581, 0.5000, 0.3419)  1 P 2.01
S (0.7854, 0.0530, 0.6558)  1 P 2.01
S (0.8960, 0.5000, 0.1040)  1 P 2.01
S (0.9470, 0.2146, 0.3442)  1 P 2.01

(3)
Compound: AcTbAl4
Source: the Alexandria database
Functional: PBE
Structure: optimized geometry

The symmetry is F-43m, No. 216. The energy of formation comes out at -0.40 eV per atom. The total magnetic moment is 0.000 μB/atom. The value obtained for the density of states at the Fermi level is 5.30 states/eV per cell.

abc: 5.7561 5.7561 5.7561
angles: 60.00 60.00 60.00
Last column: nearest neighbours and their distance in Å.
Fractional positions:
Ac (0.0000, 0.0000, 0.0000)  12 Al 3.38, 4 Tb 3.52
Tb (0.7500, 0.7500, 0.7500)  12 Al 3.37, 4 Ac 3.52
Al (0.3752, 0.3752, 0.3752)  6 Al 2.87-2.88
Al (0.3752, 0.3752, 0.8744)  6 Al 2.87-2.88
Al (0.3752, 0.8744, 0.3752)  6 Al 2.87-2.88
Al (0.8744, 0.3752, 0.3752)  6 Al 2.87-2.88

(4)
Compound: LiMnTe3Pb
Source: the Alexandria database
Functional: PBE
Structure: optimized geometry

The symmetry is P2_1/m, No. 11. The total energy comes out at -4.409 eV per atom. The total magnetic moment is 0.667 μB/atom. The value obtained for the density of states at the Fermi level is 4.12 states/eV per cell.

abc: 7.9124 4.1711 10.3246
angles: 90.00 108.05 90.00
Last column: nearest neighbours and their distance in Å.
Fractional positions:
Li (0.0861, 0.2500, 0.1012)  4 Te 2.69-2.86, 2 Li 2.97
Li (0.9139, 0.7500, 0.8988)  4 Te 2.69-2.86, 2 Li 2.97
Mn (0.3059, 0.7500, 0.3414)  6 Te 2.80-2.91
Mn (0.6941, 0.2500, 0.6586)  6 Te 2.80-2.91
Te (0.0769, 0.2500, 0.3591)  1 Li 2.69, 2 Mn 2.81
Te (0.2825, 0.7500, 0.0543)  3 Li 2.73-2.86, 1 Mn 2.91
Te (0.4408, 0.7500, 0.6257)  3 Mn 2.80-2.84
Te (0.5592, 0.2500, 0.3743)  3 Mn 2.80-2.84
Te (0.7175, 0.2500, 0.9457)  3 Li 2.73-2.86, 1 Mn 2.91
Te (0.9231, 0.7500, 0.6409)  1 Li 2.69, 2 Mn 2.81
Pb (0.2652, 0.2500, 0.8010)  7 Te 3.31-3.42
Pb (0.7348, 0.7500, 0.1989)  7 Te 3.31-3.42

(5)
Compound: PaGaFe4H6
Source: the Alexandria database
Functional: PBE
Structure: optimized geometry

The symmetry is P6/mmm, No. 191. The total energy comes out at -5.712 eV per atom. The total magnetic moment is 0.691 μB/atom. The value obtained for the density of states at the Fermi level is 10.23 states/eV per cell.

abc: 4.2592 4.2592 6.6627
angles: 90.00 90.00 120.00
Last column: nearest neighbours and their distance in Å.
Fractional positions:
Pa (0.0000, 0.0000, 0.0000)  12 H 2.34
Ga (0.0000, 0.0000, 0.5000)  12 Fe 2.73
Fe (0.3333, 0.6667, 0.3208)  3 H 1.70
Fe (0.3333, 0.6667, 0.6792)  3 H 1.70
Fe (0.6667, 0.3333, 0.3208)  3 H 1.70
Fe (0.6667, 0.3333, 0.6792)  3 H 1.70
H (0.0000, 0.5000, 0.1443)  2 Fe 1.70
H (0.0000, 0.5000, 0.8557)  2 Fe 1.70
H (0.5000, 0.0000, 0.1443)  2 Fe 1.70
H (0.5000, 0.0000, 0.8557)  2 Fe 1.70
H (0.5000, 0.5000, 0.1443)  2 Fe 1.70
H (0.5000, 0.5000, 0.8557)  2 Fe 1.70

(6)
Compound: Nd12Sm6Zr
Source: the Alexandria database
Functional: PBE
Structure: optimized geometry

The symmetry is R-3, No. 148. The energy of formation comes out at 0.04 eV per atom. The total magnetic moment is 0.000 μB/atom. The value obtained for the density of states at the Fermi level is 26.54 states/eV per cell.

abc: 9.6211 9.6211 9.6211
angles: 110.91 110.91 110.91
Last column: nearest neighbours and their distance in Å.
Fractional positions:
Nd (0.0566, 0.3729, 0.5838)  8 Nd 3.63-3.68, 4 Sm 3.64-3.69
Nd (0.1025, 0.7420, 0.1531)  1 Zr 3.55, 8 Nd 3.55-3.71, 3 Sm 3.56-3.77
Nd (0.1531, 0.1025, 0.7420)  1 Zr 3.55, 8 Nd 3.55-3.71, 3 Sm 3.56-3.77
Nd (0.2580, 0.8469, 0.8975)  1 Zr 3.55, 8 Nd 3.55-3.71, 3 Sm 3.56-3.77
Nd (0.3729, 0.5838, 0.0566)  8 Nd 3.63-3.68, 4 Sm 3.64-3.69
Nd (0.4162, 0.9434, 0.6271)  8 Nd 3.63-3.68, 4 Sm 3.64-3.69
Nd (0.5838, 0.0566, 0.3729)  8 Nd 3.63-3.68, 4 Sm 3.64-3.69
Nd (0.6271, 0.4162, 0.9434)  8 Nd 3.63-3.68, 4 Sm 3.64-3.69
Nd (0.7420, 0.1531, 0.1025)  1 Zr 3.55, 8 Nd 3.55-3.71, 3 Sm 3.56-3.77
Nd (0.8469, 0.8975, 0.2580)  1 Zr 3.55, 8 Nd 3.55-3.71, 3 Sm 3.56-3.77
Nd (0.8975, 0.2580, 0.8469)  1 Zr 3.55, 8 Nd 3.55-3.71, 3 Sm 3.56-3.77
Nd (0.9434, 0.6271, 0.4162)  8 Nd 3.63-3.68, 4 Sm 3.64-3.69
Sm (0.2075, 0.4632, 0.3097)  4 Sm 3.53-3.70, 1 Zr 3.56, 7 Nd 3.56-3.77
Sm (0.3097, 0.2075, 0.4632)  4 Sm 3.53-3.70, 1 Zr 3.56, 7 Nd 3.56-3.77
Sm (0.4632, 0.3097, 0.2075)  4 Sm 3.53-3.70, 1 Zr 3.56, 7 Nd 3.56-3.77
Sm (0.5368, 0.6903, 0.7925)  4 Sm 3.53-3.70, 1 Zr 3.56, 7 Nd 3.56-3.77
Sm (0.6903, 0.7925, 0.5368)  4 Sm 3.53-3.70, 1 Zr 3.56, 7 Nd 3.56-3.77
Sm (0.7925, 0.5368, 0.6903)  4 Sm 3.53-3.70, 1 Zr 3.56, 7 Nd 3.56-3.77
Zr (0.0000, 0.0000, 0.0000)  6 Nd 3.55, 6 Sm 3.56

(7)
Compound: HfCuIr
Source: the Alexandria database
Functional: PBE
Structure: optimized geometry

The symmetry is Amm2, No. 38. The energy of formation comes out at -0.55 eV per atom. The total magnetic moment is 0.000 μB/atom. The value obtained for the density of states at the Fermi level is 2.55 states/eV per cell.

abc: 4.1816 6.5806 6.5806
angles: 31.72 90.00 90.00
Last column: nearest neighbours and their distance in Å.
Fractional positions:
Hf (0.0000, 0.0000, 0.0000)  6 Ir 2.75-2.78, 4 Cu 2.76-2.84
Hf (0.5000, 0.1942, 0.1942)  6 Cu 2.75-2.77, 4 Ir 2.76-2.78
Cu (0.0000, 0.6735, 0.6735)  4 Ir 2.73-2.80, 6 Hf 2.77-2.84
Cu (0.5000, 0.8582, 0.8582)  4 Hf 2.75-2.76, 6 Ir 2.77-2.79
Ir (0.0000, 0.3360, 0.3360)  6 Cu 2.73-2.77, 4 Hf 2.75-2.76
Ir (0.5000, 0.5262, 0.5262)  6 Hf 2.78, 4 Cu 2.79-2.80

(8)
Compound: PrDyTl6
Source: the Alexandria database
Functional: PBE
Structure: optimized geometry

The symmetry is P4/mmm, No. 123. The energy of formation comes out at -0.28 eV per atom. The total magnetic moment is 0.000 μB/atom. The value obtained for the density of states at the Fermi level is 2.74 states/eV per cell.

abc: 4.8128 4.8128 9.6149
angles: 90.00 90.00 90.00
Last column: nearest neighbours and their distance in Å.
Fractional positions:
Pr (0.0000, 0.0000, 0.0000)  12 Tl 3.40-3.43
Dy (0.0000, 0.0000, 0.5000)  12 Tl 3.37-3.40
Tl (0.0000, 0.5000, 0.2548)  8 Tl 3.37-3.43, 2 Dy 3.37, 2 Pr 3.43
Tl (0.0000, 0.5000, 0.7452)  8 Tl 3.37-3.43, 2 Dy 3.37, 2 Pr 3.43
Tl (0.5000, 0.0000, 0.2548)  8 Tl 3.37-3.43, 2 Dy 3.37, 2 Pr 3.43
Tl (0.5000, 0.0000, 0.7452)  8 Tl 3.37-3.43, 2 Dy 3.37, 2 Pr 3.43
Tl (0.5000, 0.5000, 0.0000)  4 Pr 3.40, 8 Tl 3.43
Tl (0.5000, 0.5000, 0.5000)  8 Tl 3.37, 4 Dy 3.40